A plane-wave DFT calculation with PBE+U was carried out for CePmWO6 after structural relaxation.

Cell: 5.6888 5.6888 9.6118 Å, 90.00 90.00 120.00°
Fractional coordinates of all 18 atoms:
Ce  0.3333  0.6667  0.2500
Ce  0.6667  0.3333  0.7500
Pm  0.0000  0.0000  0.0000
Pm  0.0000  0.0000  0.5000
W  0.3333  0.6667  0.7500
W  0.6667  0.3333  0.2500
O  0.0327  0.3674  0.6385
O  0.0327  0.6653  0.8615
O  0.3347  0.3674  0.8615
O  0.3347  0.9673  0.6385
O  0.3674  0.0327  0.1385
O  0.3674  0.3347  0.3615
O  0.6326  0.6653  0.6385
O  0.6326  0.9673  0.8615
O  0.6653  0.0327  0.3615
O  0.6653  0.6326  0.1385
O  0.9673  0.3347  0.1385
O  0.9673  0.6326  0.3615

Crystal system: trigonal
SG: P-31c (163)
VASP energy in eV/atom: -8.1417